{"formula": "SmTmIr", "functional": "PBE", "state": "optimized geometry", "lattice": [[0.000, 3.328, 3.328], [3.328, 0.000, 3.328], [3.328, 3.328, 0.000]], "species": ["Sm", "Tm", "Ir"], "frac_coords": [[0.000, 0.000, 0.000], [0.750, 0.750, 0.750], [0.500, 0.500, 0.500]], "sg": "No. 216", "formation_energy_ev_per_atom": 0.130, "de_polymorph_kj_per_mol_atoms": 82.7, "e_tot_ev_per_atom": -5.883}


{"formula": "SmTmIr", "functional": "PBE", "state": "optimized geometry", "lattice": [[7.263, 0.000, 0.000], [0.000, 4.597, 0.000], [0.000, 0.000, 8.741]], "species": ["Sm", "Sm", "Sm", "Sm", "Tm", "Tm", "Tm", "Tm", "Ir", "Ir", "Ir", "Ir"], "frac_coords": [[0.012, 0.250, 0.168], [0.488, 0.750, 0.668], [0.512, 0.250, 0.332], [0.988, 0.750, 0.832], [0.141, 0.250, 0.577], [0.359, 0.750, 0.077], [0.641, 0.250, 0.923], [0.859, 0.750, 0.423], [0.248, 0.750, 0.406], [0.252, 0.250, 0.906], [0.748, 0.750, 0.094], [0.752, 0.250, 0.594]], "sg": "No. 62", "formation_energy_ev_per_atom": -0.727, "de_polymorph_kj_per_mol_atoms": 0.0, "e_tot_ev_per_atom": -6.741}


{"formula": "SmUIr", "functional": "PBE", "state": "optimized geometry", "lattice": [[0.000, 3.415, 3.415], [3.415, 0.000, 3.415], [3.415, 3.415, 0.000]], "species": ["Sm", "U", "Ir"], "frac_coords": [[0.000, 0.000, 0.000], [0.500, 0.500, 0.500], [0.250, 0.250, 0.250]], "sg": "No. 216", "formation_energy_ev_per_atom": -0.086, "de_polymorph_kj_per_mol_atoms": 0.0, "e_tot_ev_per_atom": -8.374}


{"formula": "SmIrW", "functional": "PBE", "state": "optimized geometry", "lattice": [[0.000, 3.256, 3.256], [3.256, 0.000, 3.256], [3.256, 3.256, 0.000]], "species": ["Sm", "Ir", "W"], "frac_coords": [[0.000, 0.000, 0.000], [0.750, 0.750, 0.750], [0.250, 0.250, 0.250]], "sg": "No. 216", "formation_energy_ev_per_atom": 1.510, "de_polymorph_kj_per_mol_atoms": 105.5, "e_tot_ev_per_atom": -7.332}